Entry a
Compound: LiCaTe3
Source: Alexandria via LeMat-Bulk
Functional: PBE
Structure: relaxed Values from VASP.

Calculated values
Its volume is 202.3 Å³ per cell. As for the space group: No. 221.

Cell and atoms, written as Quantum ESPRESSO input:
```
&SYSTEM
  ibrav = 0, nat = 5, ntyp = 3
/
ATOMIC_SPECIES
Te 127.60 Te.upf
Ca 40.08 Ca.upf
Li 6.94 Li.upf
ATOMIC_POSITIONS crystal
Te 0.000 0.000 0.500
Te 0.000 0.500 0.000
Te 0.500 0.000 0.000
Ca 0.000 0.000 0.000
Li 0.500 0.500 0.500
CELL_PARAMETERS angstrom
5.870 0.000 0.000
0.000 5.870 0.000
0.000 0.000 5.870
```

---

Entry b
Compound: LiCaTe3
Source: Alexandria via LeMat-Bulk
Functional: PBE
Structure: relaxed Values from VASP.

Calculated values
Its volume is 142.7 Å³ per cell. As for the space group: No. 221.

Cell and atoms, written as Quantum ESPRESSO input:
```
&SYSTEM
  ibrav = 0, nat = 5, ntyp = 3
/
ATOMIC_SPECIES
Ca 40.08 Ca.upf
Li 6.94 Li.upf
Te 127.60 Te.upf
ATOMIC_POSITIONS crystal
Ca 0.500 0.500 0.500
Li 0.000 0.000 0.000
Te 0.500 0.000 0.000
Te 0.000 0.500 0.000
Te 0.000 0.000 0.500
CELL_PARAMETERS angstrom
-1.008 -0.117 5.127
5.100 -0.566 0.990
0.533 5.194 0.223
```

---

The winner here is entry b, beating the second structure by 241 meV/atom.

---

Entry a
Compound: LiCa2Th
Source: Alexandria via LeMat-Bulk
Functional: PBE
Structure: relaxed Values from VASP.

Calculated values
Its volume is 135.9 Å³ per cell. As for the space group: No. 166.

Cell and atoms, written as Quantum ESPRESSO input:
```
&SYSTEM
  ibrav = 0, nat = 4, ntyp = 3
/
ATOMIC_SPECIES
Th 232.04 Th.upf
Ca 40.08 Ca.upf
Li 6.94 Li.upf
ATOMIC_POSITIONS crystal
Th 0.000 0.000 0.000
Ca 0.092 0.092 0.725
Ca 0.908 0.908 0.275
Li 0.500 0.500 0.500
CELL_PARAMETERS angstrom
3.513 0.000 0.000
1.756 3.042 0.000
1.756 1.014 12.715
```

---

Entry b
Compound: LiCa2Th
Source: Alexandria via LeMat-Bulk
Functional: PBE
Structure: relaxed Values from VASP.

Calculated values
Its volume is 132.9 Å³ per cell. As for the space group: No. 123.

Cell and atoms, written as Quantum ESPRESSO input:
```
&SYSTEM
  ibrav = 0, nat = 4, ntyp = 3
/
ATOMIC_SPECIES
Th 232.04 Th.upf
Li 6.94 Li.upf
Ca 40.08 Ca.upf
ATOMIC_POSITIONS crystal
Th 0.500 0.500 0.000
Li 0.500 0.500 0.500
Ca 0.000 0.000 0.267
Ca 0.000 0.000 0.733
CELL_PARAMETERS angstrom
3.594 0.000 0.000
0.000 3.594 0.000
0.000 0.000 10.285
```

---

The winner here is entry b, beating the second structure by 130 meV/atom.

---

Entry a
Compound: LiCaTh
Source: Alexandria via LeMat-Bulk
Functional: PBE
Structure: relaxed Values from VASP.

Calculated values
Its volume is 90.3 Å³ per cell. As for the space group: No. 107.

Cell and atoms, written as Quantum ESPRESSO input:
```
&SYSTEM
  ibrav = 0, nat = 3, ntyp = 3
/
ATOMIC_SPECIES
Th 232.04 Th.upf
Li 6.94 Li.upf
Ca 40.08 Ca.upf
ATOMIC_POSITIONS crystal
Th 0.681 0.681 0.362
Li 0.332 0.332 0.663
Ca 0.987 0.987 0.975
CELL_PARAMETERS angstrom
3.532 0.000 0.000
0.000 3.532 0.000
-1.766 -1.766 7.239
```

---

Entry b
Compound: LiCaTh
Source: Alexandria via LeMat-Bulk
Functional: PBE
Structure: relaxed Values from VASP.

Calculated values
Its volume is 94.4 Å³ per cell. As for the space group: No. 156.

Cell and atoms, written as Quantum ESPRESSO input:
```
&SYSTEM
  ibrav = 0, nat = 3, ntyp = 3
/
ATOMIC_SPECIES
Ca 40.08 Ca.upf
Th 232.04 Th.upf
Li 6.94 Li.upf
ATOMIC_POSITIONS crystal
Ca 0.000 0.000 0.008
Th 0.333 0.667 0.654
Li 0.667 0.333 0.338
CELL_PARAMETERS angstrom
-3.112 -1.079 1.308
0.532 0.039 -3.503
2.979 -8.149 0.361
```

---

The winner here is entry b, beating the second structure by 12 meV/atom.